Compound: GaAgTe2
Source: the Alexandria database
Functional: PBE
Structure: relaxed

The formation energy (no corrections) comes out at -0.8 eV/f.u. For the size of the total moment, the calculation gives 0.000 μB per cell. For the calculated volume, the calculation gives 258.0 Å³ per cell.

The space group is Cm (No. 8) and the conventional cell measures 7.821, 4.534 and 7.727 Å, with angles of 90.00, 109.70 and 90.00 degrees. The asymmetric unit holds Ga at (0.000, 0.000, 0.000), Ag at (0.013, 0.500, 0.538), Te at (0.382, 0.500, 0.644) and Te at (0.383, 0.000, 0.147).

Compound: GaAg3Te
Source: the Alexandria database
Functional: PBE
Structure: relaxed

The formation energy (no corrections) comes out at 2.2 eV/f.u. For the size of the total moment, the calculation gives 0.000 μB per cell. The polymorph energy (0 for the lowest one) comes out at 0.000 eV/atom. For the calculated volume, the calculation gives 121.8 Å³ per cell.

The space group is Pm-3m (No. 221) and the conventional cell measures 4.957, 4.957 and 4.957 Å, with angles of 90.00, 90.00 and 90.00 degrees. The asymmetric unit holds Ga at (0.000, 0.000, 0.000), Ag at (0.000, 0.000, 0.500) and Te at (0.500, 0.500, 0.500).

Compound: GaAgTe2
Source: the Alexandria database
Functional: PBE
Structure: relaxed

The formation energy (no corrections) comes out at -0.1 eV/f.u. For the size of the total moment, the calculation gives 0.000 μB per cell. For the calculated volume, the calculation gives 376.3 Å³ per cell.

The space group is R-3m (No. 166, hexagonal axes) and the conventional cell measures 4.1646, 4.1646 and 25.0543 Å, with angles of 90.00, 90.00 and 120.00 degrees. The asymmetric unit holds Ga at (0.0000, 0.0000, 0.0000), Ag at (0.0000, 0.0000, 0.5000) and Te at (0.0000, 0.0000, 0.3942).